Density functional theory data (PBE with a Hubbard U) for crystalline V2SbF at its relaxed geometry.

Summary:
* M_tot: 6.00 μB per formula unit
* DFT total energy: -43.70 eV per cell
* excess energy over the best structure of this formula in the dataset: 0.0 meV/atom
* space-group type: I-42d, No. 122

Cell: 7.4076 7.4076 7.4076 Å, 139.02 139.02 59.35°
Last column: nearest neighbours and their distance in Å.
Atoms (fractional coordinates):
V 0.3750 0.2388 0.3638  2 F 2.15
V 0.7612 0.1250 0.1362  2 F 2.15
V 0.8750 0.0112 0.6362  2 F 2.15
V 0.9888 0.6250 0.8638  2 F 2.15
Sb 0.2500 0.7500 0.5000  4 V 2.88
Sb 0.5000 0.5000 0.0000  4 V 2.88
F 0.0000 0.0000 0.0000  4 V 2.15
F 0.7500 0.2500 0.5000  4 V 2.15